An optimized crystal structure of Sr2NpBeO6, computed with PBE.

abc: 5.6257 5.6257 5.6403
angles: 119.97 119.97 59.85
With the nearest neighbours (Å) after each atom.
Sites, in units of the cell vectors:
1 Sr 0.2488 0.2488 0.2472  11 O 2.63-2.94
2 Sr 0.7512 0.7512 0.7528  11 O 2.63-2.94
3 Np 0.0000 0.0000 0.5000  6 O 2.07
4 Be 0.5000 0.5000 0.0000  6 O 1.92-1.94
5 O 0.2413 0.7218 0.2214  1 Be 1.92, 1 Np 2.07
6 O 0.2584 0.2584 0.7222  1 Be 1.94, 1 Np 2.07
7 O 0.2782 0.7587 0.7786  1 Be 1.92, 1 Np 2.07
8 O 0.7218 0.2413 0.2214  1 Be 1.92, 1 Np 2.07
9 O 0.7416 0.7416 0.2778  1 Be 1.94, 1 Np 2.07
10 O 0.7587 0.2782 0.7786  1 Be 1.92, 1 Np 2.07

Output
- DFT total energy (eV per atom) = -7.733
- uncorrected formation energy (eV per formula unit) = -27.5
- space-group type = C2/m, No. 12